# Hf2TaTiC4

A geometry-optimized Hf2TaTiC4 structure (PBE-GGA, the Alexandria database).

abc: 5.540 3.211 5.548
angles: 90.00 109.41 90.00
Space group P2/m (No. 10)
Symmetry-distinct sites (fractional):
Hf 0.000 0.000 0.000 (multiplicity 1)
Hf 0.500 0.500 0.000 (multiplicity 1)
Ta 0.000 0.500 0.500 (multiplicity 1)
Ti 0.500 0.000 0.500 (multiplicity 1)
C 0.248 0.000 0.740 (multiplicity 2)
C 0.254 0.500 0.261 (multiplicity 2)

Computed properties:
The calculation puts the size of the total moment at 0.00 μB per atom. The calculation puts the formation enthalpy at 0 K at -848 meV/atom. Its crystal system is monoclinic.